(1)
5
Lattice="-2.096 2.096 4.787 2.096 -2.096 4.787 2.096 2.096 -4.787" Properties=species:S:1:pos:R:3 comment="ErSi2TcIr (PBE-GGA, optimized geometry)" total_energy_ev_per_fu=-39.09 total_magnetization_mub_per_fu=0.0 dos_ef_per_ev_fu=2.617 sg=I-4m2 pbc="T T T"
Er 0.000 0.000 0.000
Si 0.000 0.000 3.564
Si 0.000 0.000 6.010
Tc 2.096 0.000 2.394
Ir 0.000 2.096 2.394

(2)
9
Lattice="-3.445 3.445 4.209 3.445 -3.445 4.209 3.445 3.445 -4.209" Properties=species:S:1:pos:R:3 comment="Er2Th2Si4Ir (PBE-GGA, optimized geometry)" total_energy_ev_per_fu=-58.15 total_magnetization_mub_per_fu=0.0 dos_ef_per_ev_fu=9.093 sg=I4/mmm pbc="T T T"
Er 0.000 0.000 1.553
Er 0.000 0.000 6.865
Th 3.445 0.000 2.104
Th 0.000 3.445 2.104
Si 1.741 1.741 0.000
Si 1.704 -1.704 4.209
Si -1.704 1.704 4.209
Si 1.704 1.704 4.209
Ir 0.000 0.000 4.209

(3)
20
Lattice="9.570 0.000 0.000 0.000 9.570 0.000 0.000 0.000 3.573" Properties=species:S:1:pos:R:3 comment="Er2TiSi2Ir5 (PBE-GGA, optimized geometry)" total_energy_ev_per_fu=-81.60 total_magnetization_mub_per_fu=0.0 dos_ef_per_ev_fu=3.115 sg=P4/mbm pbc="T T T"
Er 1.669 3.116 0.000
Er 3.116 7.901 0.000
Er 6.455 1.669 0.000
Er 7.901 6.455 0.000
Ti 0.000 0.000 0.000
Ti 4.785 4.785 0.000
Si 1.188 5.973 0.000
Si 3.598 1.188 0.000
Si 5.973 8.383 0.000
Si 8.383 3.598 0.000
Ir 0.000 4.785 1.786
Ir 0.649 7.568 1.786
Ir 2.003 0.649 1.786
Ir 2.783 5.434 1.786
Ir 4.136 2.783 1.786
Ir 4.785 0.000 1.786
Ir 5.434 6.788 1.786
Ir 6.788 4.136 1.786
Ir 7.568 8.921 1.786
Ir 8.921 2.003 1.786

(4)
9
Lattice="-3.393 3.393 4.227 3.393 -3.393 4.227 3.393 3.393 -4.227" Properties=species:S:1:pos:R:3 comment="Er2Tm2Si4Ir (PBE-GGA, optimized geometry)" total_energy_ev_per_fu=-51.97 total_magnetization_mub_per_fu=0.0 dos_ef_per_ev_fu=7.730 sg=I4/mmm pbc="T T T"
Er 3.393 0.000 2.114
Er 0.000 3.393 2.114
Tm 0.000 0.000 1.592
Tm 0.000 0.000 6.863
Si 1.699 1.699 0.000
Si 1.694 -1.694 4.227
Si -1.694 1.694 4.227
Si 1.694 1.694 4.227
Ir 0.000 0.000 4.227

(5)
4
Lattice="3.922 0.000 0.000 0.000 2.072 5.235 0.000 -2.072 5.235" Properties=species:S:1:pos:R:3 comment="ErTmSiIr (PBE-GGA, optimized geometry)" total_energy_ev_per_fu=-26.90 total_magnetization_mub_per_fu=0.0 dos_ef_per_ev_fu=2.240 sg=Amm2 pbc="T T T"
Er 0.000 0.000 0.000
Tm 1.961 0.000 2.970
Si 1.961 0.000 6.020
Ir 0.000 0.000 7.541

(6)
9
Lattice="-3.207 3.207 4.436 3.207 -3.207 4.436 3.207 3.207 -4.436" Properties=species:S:1:pos:R:3 comment="Y2Er2SiIr4 (PBE-GGA, optimized geometry)" total_energy_ev_per_fu=-67.77 total_magnetization_mub_per_fu=0.0 dos_ef_per_ev_fu=4.483 sg=I4/mmm pbc="T T T"
Y 0.000 0.000 1.699
Y 0.000 0.000 7.173
Er 3.207 0.000 2.218
Er 0.000 3.207 2.218
Si 0.000 0.000 4.436
Ir 1.580 1.580 0.000
Ir 1.628 -1.628 4.436
Ir -1.628 1.628 4.436
Ir 1.628 1.628 4.436

(7)
10
Lattice="4.101 0.000 0.000 0.000 4.101 0.000 0.000 0.000 10.071" Properties=species:S:1:pos:R:3 comment="Er2ZnSi3Ir4 (PBE-GGA, optimized geometry)" total_energy_ev_per_fu=-71.45 total_magnetization_mub_per_fu=0.0 dos_ef_per_ev_fu=7.252 sg=P-4m2 pbc="T T T"
Er 0.000 2.050 2.519
Er 2.050 0.000 7.552
Zn 0.000 0.000 5.035
Si 0.000 2.050 8.777
Si 2.050 0.000 1.294
Si 2.050 2.050 5.035
Ir 0.000 0.000 0.000
Ir 0.000 2.050 6.439
Ir 2.050 0.000 3.631
Ir 2.050 2.050 0.000

(8)
20
Lattice="9.648 0.000 0.000 0.000 9.648 0.000 0.000 0.000 3.480" Properties=species:S:1:pos:R:3 comment="Er2ZnSi2Ir5 (PBE-GGA, optimized geometry)" total_energy_ev_per_fu=-73.73 total_magnetization_mub_per_fu=0.0 dos_ef_per_ev_fu=1.696 sg=P4/mbm pbc="T T T"
Er 1.679 3.145 0.000
Er 3.145 7.969 0.000
Er 6.504 1.679 0.000
Er 7.969 6.504 0.000
Zn 0.000 0.000 0.000
Zn 4.824 4.824 0.000
Si 1.217 6.042 0.000
Si 3.607 1.217 0.000
Si 6.042 8.431 0.000
Si 8.431 3.607 0.000
Ir 0.000 4.824 1.740
Ir 0.650 7.627 1.740
Ir 2.022 0.650 1.740
Ir 2.802 5.474 1.740
Ir 4.174 2.802 1.740
Ir 4.824 0.000 1.740
Ir 5.474 6.846 1.740
Ir 6.846 4.174 1.740
Ir 7.627 8.999 1.740
Ir 8.999 2.022 1.740

(9)
15
Lattice="4.126 2.382 5.944 -4.126 2.382 5.944 0.000 -4.765 5.944" Properties=species:S:1:pos:R:3 comment="SmEr8Ir6 (PBE-GGA, optimized geometry)" total_magnetization_mub_per_fu=0.0 ef_ev_per_atom=-0.8111 dos_ef_per_ev_fu=8.660 sg=R-3 pbc="T T T"
Sm 0.000 0.000 0.000
Er -1.406 -2.362 7.945
Er -2.749 0.037 9.886
Er 0.000 0.000 5.964
Er -1.342 2.399 7.945
Er 1.342 -2.399 9.886
Er 0.000 0.000 11.868
Er 2.749 -0.037 7.945
Er 1.406 2.362 9.886
Ir -2.739 -0.016 6.966
Ir -1.356 -2.380 10.866
Ir 1.383 -2.364 6.966
Ir -1.383 2.364 10.866
Ir 1.356 2.380 6.966
Ir 2.739 0.016 10.866

(10)
7
Lattice="6.072 -1.955 0.000 6.072 1.955 0.000 -3.707 0.000 7.976" Properties=species:S:1:pos:R:3 comment="Sm3Er2Ir2 (PBE-GGA, optimized geometry)" total_magnetization_mub_per_fu=0.0 ef_ev_per_atom=-0.5725 dos_ef_per_ev_fu=5.577 sg=C2/m pbc="T T T"
Sm 0.000 0.000 0.000
Sm -0.173 0.000 3.424
Sm 8.609 0.000 4.552
Er 3.311 0.000 1.489
Er 5.125 0.000 6.486
Ir 0.996 0.000 6.118
Ir 7.441 0.000 1.858

(11)
8
Lattice="4.921 0.000 0.000 0.000 4.921 0.000 0.000 0.000 6.628" Properties=species:S:1:pos:R:3 comment="SmEr3Ir4 (PBE-GGA, optimized geometry)" total_magnetization_mub_per_fu=0.0 ef_ev_per_atom=-0.8085 dos_ef_per_ev_fu=4.397 sg=P4/mmm pbc="T T T"
Sm 0.000 0.000 0.000
Er 0.000 0.000 3.314
Er 2.460 2.460 0.000
Er 2.460 2.460 3.314
Ir 0.000 2.460 1.690
Ir 0.000 2.460 4.938
Ir 2.460 0.000 1.690
Ir 2.460 0.000 4.938

(12)
10
Lattice="3.467 0.000 0.000 0.000 3.467 0.000 0.000 0.000 16.623" Properties=species:S:1:pos:R:3 comment="SmEr4Ir5 (PBE-GGA, optimized geometry)" total_magnetization_mub_per_fu=0.0 ef_ev_per_atom=-0.8130 dos_ef_per_ev_fu=8.648 sg=P4/mmm pbc="T T T"
Sm 0.000 0.000 0.000
Er 0.000 0.000 3.382
Er 0.000 0.000 6.669
Er 0.000 0.000 9.954
Er 0.000 0.000 13.241
Ir 1.734 1.734 1.767
Ir 1.734 1.734 5.030
Ir 1.734 1.734 8.312
Ir 1.734 1.734 11.593
Ir 1.734 1.734 14.856